# LaFeSi (SCAN, single point on PBEsol structure)
# energy relative to the elements, uncorrected: 254 kJ/mol of formula units
# volume: 293.4 Å³ per cell
# mass density: 5.04 g/cm³
# VASP energy: -274.49 eV/cell
data_LaFeSi
_symmetry_space_group_name_H-M 'F -4 3 m'
_symmetry_Int_Tables_number 216
_symmetry_space_group_name_Hall 'F -4 2 3'
_cell_length_a 6.6450
_cell_length_b 6.6450
_cell_length_c 6.6450
_cell_angle_alpha 90.00
_cell_angle_beta 90.00
_cell_angle_gamma 90.00
loop_
_atom_site_label
_atom_site_type_symbol
_atom_site_fract_x
_atom_site_fract_y
_atom_site_fract_z
_atom_site_occupancy
La1 La 0.0000 0.0000 0.0000 1
Fe1 Fe 0.2500 0.2500 0.7500 1
Si1 Si 0.2500 0.2500 0.2500 1

***

# LaFe2Si (SCAN, single point on PBEsol structure)
# energy relative to the elements, uncorrected: -107 kJ/mol of formula units
# volume: 207.5 Å³ per cell
# mass density: 6.69 g/cm³
# VASP energy: -271.46 eV/cell
data_LaFe2Si
_symmetry_space_group_name_H-M 'R 3 m'
_symmetry_Int_Tables_number 160
_symmetry_space_group_name_Hall 'R 3 -2"'
_cell_length_a 3.9034
_cell_length_b 3.9034
_cell_length_c 15.7260
_cell_angle_alpha 90.00
_cell_angle_beta 90.00
_cell_angle_gamma 120.00
loop_
_atom_site_label
_atom_site_type_symbol
_atom_site_fract_x
_atom_site_fract_y
_atom_site_fract_z
_atom_site_occupancy
La1 La 0.0000 0.0000 0.0000 1
Fe1 Fe 0.0000 0.0000 0.4906 1
Fe2 Fe 0.0000 0.0000 0.8053 1
Si1 Si 0.0000 0.0000 0.1983 1

***

# LaFe2Si (SCAN, single point on PBEsol structure)
# energy relative to the elements, uncorrected: 109 kJ/mol of formula units
# volume: 232.6 Å³ per cell
# mass density: 7.96 g/cm³
# VASP energy: -353.00 eV/cell
data_LaFe2Si
_symmetry_space_group_name_H-M 'F m -3 m'
_symmetry_Int_Tables_number 225
_symmetry_space_group_name_Hall '-F 4 2 3'
_cell_length_a 6.1497
_cell_length_b 6.1497
_cell_length_c 6.1497
_cell_angle_alpha 90.00
_cell_angle_beta 90.00
_cell_angle_gamma 90.00
loop_
_atom_site_label
_atom_site_type_symbol
_atom_site_fract_x
_atom_site_fract_y
_atom_site_fract_z
_atom_site_occupancy
La1 La 0.0000 0.0000 0.0000 1
Fe1 Fe 0.2500 0.2500 0.2500 1
Si1 Si 0.0000 0.0000 0.5000 1

***

# La3FeSn (SCAN, single point on PBEsol structure)
# calculated formation energy: -401 meV per atom
# volume: 136.7 Å³ per cell
# mass density: 7.18 g/cm³
# VASP energy: -185.37 eV/cell
data_La3FeSn
_symmetry_space_group_name_H-M 'P m -3 m'
_symmetry_Int_Tables_number 221
_symmetry_space_group_name_Hall '-P 4 2 3'
_cell_length_a 5.1517
_cell_length_b 5.1517
_cell_length_c 5.1517
_cell_angle_alpha 90.00
_cell_angle_beta 90.00
_cell_angle_gamma 90.00
loop_
_atom_site_label
_atom_site_type_symbol
_atom_site_fract_x
_atom_site_fract_y
_atom_site_fract_z
_atom_site_occupancy
La1 La 0.0000 0.0000 0.5000 1
Fe1 Fe 0.0000 0.0000 0.0000 1
Sn1 Sn 0.5000 0.5000 0.5000 1

***

# La2FeSn4 (SCAN, single point on PBEsol structure)
# calculated formation energy: -626 meV per atom
# volume: 355.4 Å³ per cell
# mass density: 7.55 g/cm³
# VASP energy: -504.82 eV/cell
data_La2FeSn4
_symmetry_space_group_name_H-M 'A m m 2'
_symmetry_Int_Tables_number 38
_symmetry_space_group_name_Hall 'A 2 -2'
_cell_length_a 4.5740
_cell_length_b 4.6191
_cell_length_c 16.8227
_cell_angle_alpha 90.00
_cell_angle_beta 90.00
_cell_angle_gamma 90.00
loop_
_atom_site_label
_atom_site_type_symbol
_atom_site_fract_x
_atom_site_fract_y
_atom_site_fract_z
_atom_site_occupancy
La1 La 0.0000 0.0000 0.0000 1
La2 La 0.5000 0.0000 0.2053 1
Fe1 Fe 0.5000 0.0000 0.4046 1
Sn1 Sn 0.0000 0.0000 0.3468 1
Sn2 Sn 0.0000 0.0000 0.6695 1
Sn3 Sn 0.5000 0.0000 0.5529 1
Sn4 Sn 0.5000 0.0000 0.8456 1

***

# LaFe3Sn (SCAN, single point on PBEsol structure)
# calculated formation energy: 653 meV per atom
# volume: 108.3 Å³ per cell
# mass density: 6.52 g/cm³
# VASP energy: -130.15 eV/cell
data_LaFe3Sn
_symmetry_space_group_name_H-M 'P m -3 m'
_symmetry_Int_Tables_number 221
_symmetry_space_group_name_Hall '-P 4 2 3'
_cell_length_a 4.7659
_cell_length_b 4.7659
_cell_length_c 4.7659
_cell_angle_alpha 90.00
_cell_angle_beta 90.00
_cell_angle_gamma 90.00
loop_
_atom_site_label
_atom_site_type_symbol
_atom_site_fract_x
_atom_site_fract_y
_atom_site_fract_z
_atom_site_occupancy
La1 La 0.0000 0.0000 0.0000 1
Fe1 Fe 0.0000 0.5000 0.5000 1
Sn1 Sn 0.5000 0.5000 0.5000 1

***

# SrLa2Fe (SCAN, single point on PBEsol structure)
# calculated formation energy: 514 meV per atom
# excess energy over the best structure of this formula in the dataset: 316 meV/atom
# volume: 116.7 Å³ per cell
# mass density: 6.00 g/cm³
# VASP energy: -124.56 eV/cell
data_SrLa2Fe
_symmetry_space_group_name_H-M 'P 4/m m m'
_symmetry_Int_Tables_number 123
_symmetry_space_group_name_Hall '-P 4 2'
_cell_length_a 5.0816
_cell_length_b 5.0816
_cell_length_c 4.5174
_cell_angle_alpha 90.00
_cell_angle_beta 90.00
_cell_angle_gamma 90.00
loop_
_atom_site_label
_atom_site_type_symbol
_atom_site_fract_x
_atom_site_fract_y
_atom_site_fract_z
_atom_site_occupancy
Sr1 Sr 0.0000 0.0000 0.0000 1
La1 La 0.0000 0.5000 0.5000 1
Fe1 Fe 0.5000 0.5000 0.0000 1

***

# Sr2LaFe (SCAN, single point on PBEsol structure)
# calculated formation energy: 592 meV per atom
# excess energy over the best structure of this formula in the dataset: 84 meV/atom
# volume: 125.1 Å³ per cell
# mass density: 4.91 g/cm³
# VASP energy: -103.42 eV/cell
data_Sr2LaFe
_symmetry_space_group_name_H-M 'P 4/m m m'
_symmetry_Int_Tables_number 123
_symmetry_space_group_name_Hall '-P 4 2'
_cell_length_a 4.7319
_cell_length_b 4.7319
_cell_length_c 5.5885
_cell_angle_alpha 90.00
_cell_angle_beta 90.00
_cell_angle_gamma 90.00
loop_
_atom_site_label
_atom_site_type_symbol
_atom_site_fract_x
_atom_site_fract_y
_atom_site_fract_z
_atom_site_occupancy
Sr1 Sr 0.0000 0.5000 0.0000 1
La1 La 0.0000 0.0000 0.5000 1
Fe1 Fe 0.5000 0.5000 0.5000 1

***

# SrLa2Fe (SCAN, single point on PBEsol structure)
# calculated formation energy: 207 meV per atom
# excess energy over the best structure of this formula in the dataset: 9 meV/atom
# volume: 249.9 Å³ per cell
# mass density: 5.60 g/cm³
# VASP energy: -251.58 eV/cell
data_SrLa2Fe
_symmetry_space_group_name_H-M 'C m m m'
_symmetry_Int_Tables_number 65
_symmetry_space_group_name_Hall '-C 2 2'
_cell_length_a 4.4596
_cell_length_b 5.5775
_cell_length_c 10.0455
_cell_angle_alpha 90.00
_cell_angle_beta 90.00
_cell_angle_gamma 90.00
loop_
_atom_site_label
_atom_site_type_symbol
_atom_site_fract_x
_atom_site_fract_y
_atom_site_fract_z
_atom_site_occupancy
Sr1 Sr 0.0000 0.0000 0.0000 1
La1 La 0.0000 0.5000 0.3397 1
Fe1 Fe 0.0000 0.0000 0.5000 1

***

# SrLa2Fe (SCAN, single point on PBEsol structure)
# calculated formation energy: 198 meV per atom
# excess energy over the best structure of this formula in the dataset: 0 meV/atom
# volume: 124.4 Å³ per cell
# mass density: 5.62 g/cm³
# VASP energy: -125.82 eV/cell
data_SrLa2Fe
_symmetry_space_group_name_H-M 'P 4/m m m'
_symmetry_Int_Tables_number 123
_symmetry_space_group_name_Hall '-P 4 2'
_cell_length_a 3.5345
_cell_length_b 3.5345
_cell_length_c 9.9572
_cell_angle_alpha 90.00
_cell_angle_beta 90.00
_cell_angle_gamma 90.00
loop_
_atom_site_label
_atom_site_type_symbol
_atom_site_fract_x
_atom_site_fract_y
_atom_site_fract_z
_atom_site_occupancy
Sr1 Sr 0.0000 0.0000 0.0000 1
La1 La 0.5000 0.5000 0.3379 1
Fe1 Fe 0.0000 0.0000 0.5000 1

***

# SrLa2Fe (SCAN, single point on PBEsol structure)
# calculated formation energy: 287 meV per atom
# excess energy over the best structure of this formula in the dataset: 89 meV/atom
# volume: 399.2 Å³ per cell
# mass density: 5.26 g/cm³
# VASP energy: -376.40 eV/cell
data_SrLa2Fe
_symmetry_space_group_name_H-M 'R -3 m'
_symmetry_Int_Tables_number 166
_symmetry_space_group_name_Hall '-R 3 2"'
_cell_length_a 4.0040
_cell_length_b 4.0040
_cell_length_c 28.7547
_cell_angle_alpha 90.00
_cell_angle_beta 90.00
_cell_angle_gamma 120.00
loop_
_atom_site_label
_atom_site_type_symbol
_atom_site_fract_x
_atom_site_fract_y
_atom_site_fract_z
_atom_site_occupancy
Sr1 Sr 0.0000 0.0000 0.0000 1
La1 La 0.0000 0.0000 0.2161 1
Fe1 Fe 0.0000 0.0000 0.5000 1

***

# Sr2LaFe (SCAN, single point on PBEsol structure)
# calculated formation energy: 655 meV per atom
# excess energy over the best structure of this formula in the dataset: 146 meV/atom
# volume: 260.1 Å³ per cell
# mass density: 4.72 g/cm³
# VASP energy: -206.33 eV/cell
data_Sr2LaFe
_symmetry_space_group_name_H-M 'C m m m'
_symmetry_Int_Tables_number 65
_symmetry_space_group_name_Hall '-C 2 2'
_cell_length_a 6.9600
_cell_length_b 10.1168
_cell_length_c 3.6940
_cell_angle_alpha 90.00
_cell_angle_beta 90.00
_cell_angle_gamma 90.00
loop_
_atom_site_label
_atom_site_type_symbol
_atom_site_fract_x
_atom_site_fract_y
_atom_site_fract_z
_atom_site_occupancy
Sr1 Sr 0.2500 0.2500 0.0000 1
La1 La 0.0000 0.0000 0.5000 1
Fe1 Fe 0.0000 0.5000 0.5000 1

***

# SrLa2Fe (SCAN, single point on PBEsol structure)
# calculated formation energy: 386 meV per atom
# excess energy over the best structure of this formula in the dataset: 188 meV/atom
# volume: 137.6 Å³ per cell
# mass density: 5.08 g/cm³
# VASP energy: -125.07 eV/cell
data_SrLa2Fe
_symmetry_space_group_name_H-M 'P 4 m m'
_symmetry_Int_Tables_number 99
_symmetry_space_group_name_Hall 'P 4 -2'
_cell_length_a 3.8825
_cell_length_b 3.8825
_cell_length_c 9.1311
_cell_angle_alpha 90.00
_cell_angle_beta 90.00
_cell_angle_gamma 90.00
loop_
_atom_site_label
_atom_site_type_symbol
_atom_site_fract_x
_atom_site_fract_y
_atom_site_fract_z
_atom_site_occupancy
Sr1 Sr 0.0000 0.0000 0.0000 1
La1 La 0.0000 0.0000 0.4023 1
La2 La 0.5000 0.5000 0.6710 1
Fe1 Fe 0.5000 0.5000 0.4326 1

***

# Sr2LaFe (SCAN, single point on PBEsol structure)
# calculated formation energy: 508 meV per atom
# excess energy over the best structure of this formula in the dataset: 0 meV/atom
# volume: 131.0 Å³ per cell
# mass density: 4.69 g/cm³
# VASP energy: -103.75 eV/cell
data_Sr2LaFe
_symmetry_space_group_name_H-M 'P 4/m m m'
_symmetry_Int_Tables_number 123
_symmetry_space_group_name_Hall '-P 4 2'
_cell_length_a 3.6162
_cell_length_b 3.6162
_cell_length_c 10.0163
_cell_angle_alpha 90.00
_cell_angle_beta 90.00
_cell_angle_gamma 90.00
loop_
_atom_site_label
_atom_site_type_symbol
_atom_site_fract_x
_atom_site_fract_y
_atom_site_fract_z
_atom_site_occupancy
Sr1 Sr 0.0000 0.0000 0.1900 1
La1 La 0.5000 0.5000 0.5000 1
Fe1 Fe 0.5000 0.5000 0.0000 1